## HfTa3Pd (PBE-GGA)

Data for HfTa3Pd after structural relaxation.

Computed properties:
- calculated volume (Å³/f.u.) = 115.00
- symmetry = Pm-3m, No. 221
- energy above the lowest structure with this stoichiometry (meV/atom) = 726
- spin magnetization (μB/atom) = 0.000

Cell: 4.8630 4.8630 4.8630 Å, 90.00 90.00 90.00°
Positions (direct):
Hf 0.0000 0.0000 0.0000
Ta 0.0000 0.0000 0.5000
Ta 0.0000 0.5000 0.0000
Ta 0.5000 0.0000 0.0000
Pd 0.5000 0.5000 0.5000